# CaMn4FeO8

Crystalline CaMn4FeO8 at its relaxed geometry (PBE+U, Alexandria).

POSCAR file:
```
CaMn4FeO8
1.0
6.277 0.000 0.000
3.139 5.436 0.000
3.139 1.812 5.030
Ca Mn Fe O
1 4 1 8
direct
0.378 0.378 0.867
0.625 0.625 0.126
0.001 0.498 0.500
0.498 0.001 0.500
0.001 0.001 0.500
0.001 0.001 0.996
0.230 0.805 0.735
0.805 0.230 0.735
0.230 0.230 0.735
0.234 0.234 0.299
0.763 0.210 0.264
0.210 0.763 0.264
0.763 0.763 0.264
0.761 0.761 0.717
```

Calculated values
V: 171.7 Å³/f.u.
VASP energy: -7.2518 eV per atom
space group: R3m